# ZnGeIBr2 PBE relaxed
data_ZnGeIBr2
_cell_length_a 5.292
_cell_length_b 5.292
_cell_length_c 6.002
_cell_angle_alpha 90.00
_cell_angle_beta 90.00
_cell_angle_gamma 90.00
_symmetry_space_group_name_H-M 'P 1'
_symmetry_Int_Tables_number 1
loop_
_symmetry_equiv_pos_as_xyz
'x,y,z'
loop_
_atom_site_label
_atom_site_type_symbol
_atom_site_fract_x
_atom_site_fract_y
_atom_site_fract_z
Zn1 Zn 0.000 0.000 0.000
Ge1 Ge 0.500 0.500 0.500
I1 I 0.500 0.500 0.000
Br1 Br 0.000 0.500 0.500
Br2 Br 0.500 0.000 0.500
# - Symmetry: P4/mmm, No. 123
# - Formation energy without anion corrections: -0.09 eV per atom
# - DOS at the Fermi energy: 4.840 states/eV/cell

# SrLaIn3 PBE relaxed
data_SrLaIn3
_cell_length_a 5.776
_cell_length_b 5.776
_cell_length_c 5.776
_cell_angle_alpha 90.00
_cell_angle_beta 90.00
_cell_angle_gamma 90.00
_symmetry_space_group_name_H-M 'P 1'
_symmetry_Int_Tables_number 1
loop_
_symmetry_equiv_pos_as_xyz
'x,y,z'
loop_
_atom_site_label
_atom_site_type_symbol
_atom_site_fract_x
_atom_site_fract_y
_atom_site_fract_z
Sr1 Sr 0.000 0.000 0.000
La1 La 0.500 0.500 0.500
In1 In 0.000 0.000 0.500
In2 In 0.000 0.500 0.000
In3 In 0.500 0.000 0.000
# - Symmetry: Pm-3m, No. 221
# - Energy relative to the elements: 2.2 eV/f.u.
# - DOS at the Fermi energy: 3.679 states/eV/cell

# Li2CuSbPt PBE relaxed
data_Li2CuSbPt
_cell_length_a 4.317
_cell_length_b 4.317
_cell_length_c 4.775
_cell_angle_alpha 90.00
_cell_angle_beta 90.00
_cell_angle_gamma 90.00
_symmetry_space_group_name_H-M 'P 1'
_symmetry_Int_Tables_number 1
loop_
_symmetry_equiv_pos_as_xyz
'x,y,z'
loop_
_atom_site_label
_atom_site_type_symbol
_atom_site_fract_x
_atom_site_fract_y
_atom_site_fract_z
Li1 Li 0.000 0.500 0.000
Li2 Li 0.500 0.000 0.000
Cu1 Cu 0.000 0.000 0.000
Sb1 Sb 0.500 0.500 0.500
Pt1 Pt 0.000 0.000 0.500
# - Symmetry: P4/mmm, No. 123
# - Formation energy without anion corrections: -0.01 eV per atom
# - DOS at the Fermi energy: 2.049 states/eV/cell